A plane-wave DFT calculation with PBE was carried out for Zn2RuBr after structural relaxation.

Computed properties:
Its space-group type is R3m, No. 160.

Unit cell a=8.638 b=8.638 c=8.638 alpha=20.76 beta=20.76 gamma=20.76
Fractional coordinates of all 4 atoms:
Zn (0.000, 0.000, 0.000)
Zn (0.254, 0.254, 0.254)
Ru (0.511, 0.511, 0.511)
Br (0.772, 0.772, 0.772)


A plane-wave DFT calculation with PBE was carried out for SiHgTeN2 after structural relaxation.

Computed properties:
Its space-group type is P4/mmm, No. 123.

Unit cell a=4.239 b=4.239 c=6.552 alpha=90.00 beta=90.00 gamma=90.00
Fractional coordinates of all 5 atoms:
Si (0.000, 0.000, 0.000)
Hg (0.500, 0.500, 0.500)
Te (0.500, 0.500, 0.000)
N (0.000, 0.500, 0.500)
N (0.500, 0.000, 0.500)


A plane-wave DFT calculation with PBE was carried out for LaTmZnFe after structural relaxation.

Computed properties:
Its space-group type is F-43m, No. 216. For the formation energy, the calculation gives -0.028 eV per atom.

Unit cell a=5.012 b=5.012 c=5.012 alpha=60.00 beta=60.00 gamma=60.00
Fractional coordinates of all 4 atoms:
La (0.000, 0.000, 0.000)
Tm (0.500, 0.500, 0.500)
Zn (0.750, 0.750, 0.750)
Fe (0.250, 0.250, 0.250)


A plane-wave DFT calculation with PBE was carried out for SiO after structural relaxation.

Computed properties:
Its space-group type is Cm, No. 8.

Unit cell a=5.257 b=5.257 c=4.614 alpha=95.02 beta=95.02 gamma=29.79
Fractional coordinates of all 4 atoms:
Si (0.000, 0.000, 0.000)
Si (0.161, 0.161, 0.414)
O (0.090, 0.090, 0.716)
O (0.758, 0.758, 0.414)


A plane-wave DFT calculation with PBE was carried out for SrScPt2O8 after structural relaxation.

Computed properties:
Its space-group type is P-3, No. 147.

Unit cell a=5.468 b=5.468 c=6.631 alpha=90.00 beta=90.00 gamma=120.00
Fractional coordinates of all 12 atoms:
Sr (0.000, 0.000, 0.000)
Sc (0.000, 0.000, 0.500)
Pt (0.333, 0.667, 0.452)
Pt (0.667, 0.333, 0.548)
O (0.057, 0.368, 0.645)
O (0.311, 0.943, 0.645)
O (0.333, 0.667, 0.148)
O (0.368, 0.311, 0.355)
O (0.632, 0.689, 0.645)
O (0.667, 0.333, 0.852)
O (0.689, 0.057, 0.355)
O (0.943, 0.632, 0.355)


A plane-wave DFT calculation with PBE was carried out for Ba2CaMg after structural relaxation.

Computed properties:
Its space-group type is R3m, No. 160. For the formation energy, the calculation gives 0.095 eV per atom.

Unit cell a=12.809 b=12.809 c=12.809 alpha=18.92 beta=18.92 gamma=18.92
Fractional coordinates of all 4 atoms:
Ba (0.000, 0.000, 0.000)
Ba (0.232, 0.232, 0.232)
Ca (0.473, 0.473, 0.473)
Mg (0.741, 0.741, 0.741)


A plane-wave DFT calculation with PBE was carried out for PPt2Se after structural relaxation.

Computed properties:
Its space-group type is Pmmm, No. 47.

Unit cell a=2.752 b=3.546 c=7.159 alpha=90.00 beta=90.00 gamma=90.00
Fractional coordinates of all 4 atoms:
P (0.000, 0.000, 0.000)
Pt (0.000, 0.500, 0.224)
Pt (0.000, 0.500, 0.776)
Se (0.000, 0.000, 0.500)


A plane-wave DFT calculation with PBE was carried out for Ac4P3S after structural relaxation.

Computed properties:
Its space-group type is Pm-3m, No. 221.

Unit cell a=6.242 b=6.242 c=6.242 alpha=90.00 beta=90.00 gamma=90.00
Fractional coordinates of all 8 atoms:
Ac (0.000, 0.000, 0.000)
Ac (0.000, 0.500, 0.500)
Ac (0.500, 0.000, 0.500)
Ac (0.500, 0.500, 0.000)
P (0.000, 0.000, 0.500)
P (0.000, 0.500, 0.000)
P (0.500, 0.000, 0.000)
S (0.500, 0.500, 0.500)


no.,VASP energy (eV per formula unit),size of the total moment (μB/atom)
1,-12.03,0.000
2,-15.55,0.633
3,-19.25,0.334
4,-13.53,0.000
5,-70.83,0.086
6,-7.06,0.000
7,-21.34,0.000
8,-49.96,0.000